DFT (PBE-GGA) results for an optimized crystal structure of Ag3P5.

Computed properties:
energy relative to the lowest polymorph listed for this composition	0.000	eV/f.u.

The structure in CIF format:
```
data_Ag3P5
_cell_length_a 5.952
_cell_length_b 14.337
_cell_length_c 7.704
_cell_angle_alpha 90.00
_cell_angle_beta 110.69
_cell_angle_gamma 90.00
_space_group_name_H-M_alt 'C 1 m 1'
_space_group_IT_number 8
_space_group_name_Hall 'C -2y'
loop_
_atom_site_label
_atom_site_type_symbol
_atom_site_fract_x
_atom_site_fract_y
_atom_site_fract_z
Ag1 Ag 0.000 0.000 0.000
Ag2 Ag 0.005 0.500 0.010
Ag3 Ag 0.011 0.254 0.000
Ag4 Ag 0.251 0.252 0.504
P1 P 0.073 0.125 0.252
P2 P 0.217 0.383 0.270
P3 P 0.251 0.000 0.507
P4 P 0.311 0.120 0.744
P5 P 0.375 0.500 0.502
P6 P 0.443 0.383 0.739
```